[1]
Density functional theory data (GGA-PBE) for an optimized crystal structure of Ho2Cd8Ag.

POSCAR file:
```
Ho2Cd8Ag
1.0
-1.7712 4.1163 1.4397
-1.8956 1.3568 -6.2112
-5.7181 -6.0621 2.6037
Cd Ho Ag
8 2 1
Cartesian
-1.7258 0.7851 -4.3679
-4.5322 2.0537 -3.7536
-7.6591 -1.3742 2.2001
-4.8527 -2.6427 1.5858
-2.9808 1.8434 -1.2437
-7.0965 0.3875 -2.1445
-6.4041 -2.4324 -0.9241
-2.2884 -0.9765 -0.0233
-4.1657 -0.8417 -2.7184
-5.2192 0.2526 0.5506
-0.8856 2.0581 0.7199
```

DFT total energy	-21.03	eV/cell
calculated density	8.72	g/cm³
total magnetization	0.00	μB/f.u.

[2]
Density functional theory data (GGA-PBE) for an optimized crystal structure of ScTl2Cl.

POSCAR file:
```
ScTl2Cl
1.0
9.6182 0.0017 0.0010
8.9556 3.5080 0.0010
8.9556 1.6923 3.0729
Cl Sc Tl
1 1 2
Cartesian
6.8823 1.3005 0.7687
20.6470 3.9015 2.3062
27.4838 5.1934 3.0698
13.8103 2.6096 1.5425
```

DFT total energy	-13.91	eV/cell
formation energy (no corrections)	-24.0	kJ/mol of atoms
calculated density	7.84	g/cm³
total magnetization	0.00	μB/f.u.

[3]
Density functional theory data (GGA-PBE) for an optimized crystal structure of Ba5Mg3.

POSCAR file:
```
Ba5Mg3
1.0
10.9601 -0.0012 0.0000
-5.4822 9.4862 0.0000
0.0000 0.0000 7.5244
Mg Ba
6 10
Cartesian
4.4246 -0.0004 5.6433
2.2119 3.8289 1.8811
3.2667 5.6562 5.6433
1.0535 9.4851 1.8811
-3.2690 5.6573 1.8811
8.7475 3.8273 5.6433
5.4785 3.1610 3.7620
1.3993 2.4217 5.6433
4.0783 7.0633 1.8811
2.7990 0.0003 1.8811
9.5602 2.4210 1.8811
-0.0007 6.3244 0.0003
5.4785 3.1610 0.0002
2.6791 9.4845 5.6433
6.8772 7.0627 5.6433
-0.0007 6.3244 3.7619
```

DFT total energy	-28.56	eV/cell
excess energy over the best structure of this formula in the dataset	52	meV per atom
calculated density	3.22	g/cm³
total magnetization	0.00	μB/f.u.

[4]
Density functional theory data (GGA-PBE) for an optimized crystal structure of KLi3Pa2Se6.

POSCAR file:
```
KLi3Pa2Se6
1.0
-1.1216 2.8126 -2.8569
-6.2722 -6.1915 -3.6331
-4.3337 2.4054 7.1027
Li Se K Pa
3 6 1 2
Cartesian
-3.6969 -1.6895 -3.2450
-6.0689 -3.3426 -0.9081
-5.6587 2.3691 1.5208
-8.3133 -2.9193 0.3898
-9.9576 0.7503 1.6149
-1.7699 -1.7238 -1.0022
-5.6239 -0.7921 -1.6051
-3.4142 1.9458 0.2229
-6.1037 -0.1814 2.2178
-0.5608 1.4063 -1.4284
-7.9920 -0.1424 -0.0356
-3.7355 -0.8311 0.6483
```

DFT total energy	-62.30	eV/cell
formation energy (no corrections)	-125.1	kJ/mol of atoms
calculated density	5.03	g/cm³
total magnetization	2.01	μB/f.u.

[5]
Density functional theory data (GGA-PBE) for an optimized crystal structure of LiNiMoIr.

POSCAR file:
```
LiNiMoIr
1.0
-3.3420 2.2972 1.2035
-0.7807 0.6040 4.1134
0.5698 3.8215 1.7221
Ni Ir Li Mo
1 1 1 1
Cartesian
-0.8882 1.6807 1.7598
-2.6647 5.0421 5.2793
0.0000 0.0000 0.0000
-1.7764 3.3614 3.5195
```

DFT total energy	-27.62	eV/cell
calculated density	10.98	g/cm³
total magnetization	0.00	μB/f.u.

[6]
Density functional theory data (GGA-PBE) for an optimized crystal structure of Pm2HoPd.

POSCAR file:
```
Pm2HoPd
1.0
3.8042 0.0000 0.0000
1.9021 3.2946 0.0000
1.9021 1.0982 9.5961
Pm Pd Ho
2 1 1
Cartesian
1.9021 1.0982 7.6738
1.9021 1.0982 1.9230
5.7063 3.2946 9.5931
3.8042 2.1964 4.8005
```

DFT total energy	-20.24	eV/cell
excess energy over the best structure of this formula in the dataset	190	meV per atom
calculated density	7.75	g/cm³
total magnetization	0.00	μB/f.u.

[7]
Density functional theory data (GGA-PBE) for an optimized crystal structure of MgScPt.

POSCAR file:
```
MgScPt
1.0
-3.8840 -0.7185 0.2349
0.0276 -1.3641 -3.7142
3.3377 -5.7580 4.2472
Mg Sc Pt
2 2 2
Cartesian
-1.9420 -0.3593 0.1175
0.0138 -0.6820 -1.8571
0.9000 -4.3417 1.6012
-1.4187 -3.4989 -0.8333
0.3813 -1.8392 0.6783
-0.9000 -6.0014 0.0896
```

DFT total energy	-33.09	eV/cell
calculated density	7.59	g/cm³
total magnetization	0.00	μB/f.u.

[8]
Density functional theory data (GGA-PBE) for an optimized crystal structure of Y2MnAu.

POSCAR file:
```
Y2MnAu
1.0
4.1947 -2.7146 -0.9026
1.2405 -3.8513 3.0672
-0.3799 -4.7857 -1.6530
Y Au Mn
2 1 1
Cartesian
3.7915 -8.5136 0.3837
1.2638 -2.8379 0.1279
2.5277 -5.6758 0.2558
0.0000 0.0000 0.0000
```

DFT total energy	-26.38	eV/cell
excess energy over the best structure of this formula in the dataset	76	meV per atom
calculated density	7.71	g/cm³
total magnetization	3.58	μB/f.u.

[9]
Density functional theory data (GGA-PBE) for an optimized crystal structure of CoBiBr5.

POSCAR file:
```
CoBiBr5
1.0
5.1941 5.3888 0.0505
-5.1941 5.3888 0.0505
0.0000 5.3935 9.3527
Br Bi Co
10 2 2
Cartesian
0.4234 7.8092 7.7949
2.3861 7.4459 4.3314
0.4234 11.0587 6.3351
-0.4234 5.1124 3.1186
-2.3861 8.7252 5.1224
-2.3861 10.1427 9.0077
4.1486 9.4339 7.0650
2.3861 6.0284 0.4461
-0.4234 8.3619 1.6588
-4.1486 6.7372 2.3887
0.0000 2.6968 4.6763
0.0000 0.0000 0.0000
-1.1931 9.4339 7.0650
1.1931 6.7372 2.3887
```

DFT total energy	-45.60	eV/cell
formation energy (no corrections)	-47.6	kJ/mol of atoms
calculated density	4.26	g/cm³
total magnetization	3.00	μB/f.u.

[10]
Density functional theory data (GGA-PBE) for an optimized crystal structure of TbPr12Tm3.

POSCAR file:
```
TbPr12Tm3
1.0
5.1786 0.0000 0.0000
0.0000 5.1786 0.0000
0.0000 0.0000 20.6665
Pr Tm Tb
12 3 1
Cartesian
0.0000 2.5893 18.0662
2.5893 2.5893 0.0000
2.5893 0.0000 7.7542
2.5893 2.5893 15.4876
0.0000 2.5893 12.9123
0.0000 2.5893 7.7542
2.5893 0.0000 12.9123
2.5893 0.0000 18.0662
2.5893 2.5893 5.1789
0.0000 2.5893 2.6003
2.5893 2.5893 10.3332
2.5893 0.0000 2.6003
0.0000 0.0000 5.1782
0.0000 0.0000 15.4883
0.0000 0.0000 10.3332
0.0000 0.0000 0.0000
```

DFT total energy	-75.21	eV/cell
calculated density	7.06	g/cm³
total magnetization	0.00	μB/f.u.

[11]
Density functional theory data (GGA-PBE) for an optimized crystal structure of Er8Te3AsPt3.

POSCAR file:
```
Er8Te3AsPt3
1.0
8.2142 0.0014 0.0022
-4.1059 7.1329 -0.0327
0.0011 -4.7371 7.1419
Er Te Pt As
8 3 3 1
Cartesian
0.0009 2.3826 2.0509
6.0992 -1.1465 2.0289
4.1072 2.3126 2.0131
2.1158 -1.1468 2.0282
-1.9898 3.5437 5.0825
4.1085 0.0146 5.0605
0.0022 0.0846 5.0983
1.9936 3.5440 5.0831
0.0000 0.0000 0.0000
-2.0529 3.5664 -0.0164
2.0542 3.5671 -0.0153
-2.0524 1.1979 3.5546
2.0547 1.1986 3.5557
4.1076 -2.3678 3.5721
0.0005 -2.3685 3.5710
```

DFT total energy	-86.16	eV/cell
formation energy (no corrections)	-112.3	kJ/mol of atoms
calculated density	9.48	g/cm³
total magnetization	0.00	μB/f.u.

[12]
Density functional theory data (GGA-PBE) for an optimized crystal structure of PmPt3.

POSCAR file:
```
PmPt3
1.0
-3.3264 -0.6420 -2.4335
0.1272 -4.0710 0.9002
-0.9805 3.0172 4.1191
Pm Pt
1 3
Cartesian
0.0000 0.0000 0.0000
-1.2264 -1.7051 2.1263
-1.5996 -2.3565 -0.7667
-2.9532 0.0093 0.4595
```

DFT total energy	-25.88	eV/cell
calculated density	16.28	g/cm³
total magnetization	0.00	μB/f.u.